# 1
The following is a GGA-PBE calculation of a geometry-optimized AlCoCuRu structure, from Alexandria via LeMat-Bulk.

Properties
calculated formation energy = -3.6 kcal/mol of atoms
M_tot = 2.24 μB/cell
space-group type = F-43m
calculated total energy = -6.21 eV per atom

Geometry as extended XYZ:
```
4
Lattice="0.0000 2.9433 2.9433 2.9433 0.0000 2.9433 2.9433 2.9433 0.0000" Properties=species:S:1:pos:R:3 pbc="T T T"
Al 0.0000 0.0000 0.0000
Co 2.9433 2.9433 2.9433
Cu 1.4716 1.4716 1.4716
Ru 4.4149 4.4149 4.4149
```

# 2
The following is a GGA-PBE calculation of a geometry-optimized ScAlCoCu structure, from Alexandria via LeMat-Bulk.

Properties
calculated formation energy = -9.1 kcal/mol of atoms
M_tot = 0.01 μB/cell
space-group type = F-43m
calculated total energy = -5.71 eV per atom

Geometry as extended XYZ:
```
4
Lattice="0.0000 3.0517 3.0517 3.0517 0.0000 3.0517 3.0517 3.0517 0.0000" Properties=species:S:1:pos:R:3 pbc="T T T"
Sc 0.0000 0.0000 0.0000
Al 3.0517 3.0517 3.0517
Co 1.5258 1.5258 1.5258
Cu 4.5775 4.5775 4.5775
```

# 3
The following is a GGA-PBE calculation of a geometry-optimized AlCoCuSi structure, from Alexandria via LeMat-Bulk.

Properties
raw formation energy = -0.2417 eV per atom
M_tot = 0.00 μB/cell
space-group type = F-43m
calculated total energy = -5.33 eV per atom

Geometry as extended XYZ:
```
4
Lattice="0.0000 2.8689 2.8689 2.8689 0.0000 2.8689 2.8689 2.8689 0.0000" Properties=species:S:1:pos:R:3 pbc="T T T"
Al 0.0000 0.0000 0.0000
Co 4.3034 4.3034 4.3034
Cu 1.4345 1.4345 1.4345
Si 2.8689 2.8689 2.8689
```

# 4
The following is a GGA-PBE calculation of a geometry-optimized AlCoCuSn2 structure, from Alexandria via LeMat-Bulk.

Properties
calculated formation energy = 23.0 kcal/mol of atoms
M_tot = 1.90 μB/cell
space-group type = P4/mmm
calculated total energy = -3.59 eV per atom

Geometry as extended XYZ:
```
5
Lattice="5.2561 0.0000 0.0000 0.0000 5.2561 0.0000 0.0000 0.0000 4.4765" Properties=species:S:1:pos:R:3 pbc="T T T"
Al 0.0000 0.0000 0.0000
Co 2.6280 2.6280 2.2382
Cu 0.0000 0.0000 2.2382
Sn 0.0000 2.6280 0.0000
Sn 2.6280 0.0000 0.0000
```

# 5
The following is a GGA-PBE calculation of a geometry-optimized TbAlCoCu structure, from Alexandria via LeMat-Bulk.

Properties
calculated formation energy = -5.1 kcal/mol of atoms
M_tot = 0.34 μB/cell
space-group type = F-43m
calculated total energy = -5.12 eV per atom

Geometry as extended XYZ:
```
4
Lattice="0.0000 3.1875 3.1875 3.1875 0.0000 3.1875 3.1875 3.1875 0.0000" Properties=species:S:1:pos:R:3 pbc="T T T"
Tb 0.0000 0.0000 0.0000
Al 3.1875 3.1875 3.1875
Co 4.7813 4.7813 4.7813
Cu 1.5938 1.5938 1.5938
```

# 6
The following is a GGA-PBE calculation of a geometry-optimized AlCoCuTc structure, from Alexandria via LeMat-Bulk.

Properties
calculated formation energy = -1.0 kcal/mol of atoms
M_tot = 2.04 μB/cell
space-group type = F-43m
calculated total energy = -6.37 eV per atom

Geometry as extended XYZ:
```
4
Lattice="0.0000 2.9544 2.9544 2.9544 0.0000 2.9544 2.9544 2.9544 0.0000" Properties=species:S:1:pos:R:3 pbc="T T T"
Al 0.0000 0.0000 0.0000
Co 4.4316 4.4316 4.4316
Cu 1.4772 1.4772 1.4772
Tc 2.9544 2.9544 2.9544
```

# 7
The following is a GGA-PBE calculation of a geometry-optimized Th2Al3CoCu12 structure, from Alexandria via LeMat-Bulk.

Properties
calculated formation energy = 3.2 kcal/mol of atoms
M_tot = 0.16 μB/cell
space-group type = R-3m
calculated total energy = -4.43 eV per atom

Geometry as extended XYZ:
```
18
Lattice="3.0258 1.7470 9.1915 -3.0258 1.7470 9.1915 0.0000 -3.4939 9.1915" Properties=species:S:1:pos:R:3 pbc="T T T"
Th 0.0000 0.0000 4.1897
Th 0.0000 0.0000 23.3848
Al -1.5129 -0.8735 9.1915
Al -1.5129 0.8735 18.3830
Al 0.0000 1.7470 9.1915
Co 0.0000 0.0000 13.7872
Cu 0.0000 -2.1144 7.7931
Cu -1.8311 1.0572 7.7931
Cu -1.2963 -0.7484 11.9057
Cu -1.8311 -1.0572 19.7814
Cu 0.0000 -1.4968 15.6687
Cu -1.2963 0.7484 15.6687
Cu 1.2963 -0.7484 11.9057
Cu 0.0000 1.4968 11.9057
Cu 1.8311 1.0572 7.7931
Cu 1.2963 0.7484 15.6688
Cu 1.8311 -1.0572 19.7814
Cu 0.0000 2.1144 19.7814
```

# 8
The following is a GGA-PBE calculation of a geometry-optimized Al2TlCoCu structure, from Alexandria via LeMat-Bulk.

Properties
calculated formation energy = 7.3 kcal/mol of atoms
M_tot = 0.00 μB/cell
space-group type = P4/mmm
calculated total energy = -3.90 eV per atom

Geometry as extended XYZ:
```
5
Lattice="4.4830 0.0000 0.0000 0.0000 4.4830 0.0000 0.0000 0.0000 4.9481" Properties=species:S:1:pos:R:3 pbc="T T T"
Al 0.0000 2.2415 0.0000
Al 2.2415 0.0000 0.0000
Tl 0.0000 0.0000 2.4740
Co 0.0000 0.0000 0.0000
Cu 2.2415 2.2415 2.4740
```